Entry 1:
An optimized crystal structure of LiTc3Ir, computed with PBE.

Summary:
Symmetry: Pm-3m, No. 221
VASP energy: -7.388 eV/atom
Relative energy among the computed polymorphs: 0 meV/atom
Energy relative to the elements: 987 meV/atom
Density: 12.042 g cm⁻³
Crystal system: cubic

Unit cell a=4.0818 b=4.0818 c=4.0818 alpha=90.00 beta=90.00 gamma=90.00
With the nearest neighbours (Å) after each atom.
Sites, in units of the cell vectors:
Li: 0.0000 0.0000 0.0000  6 Tc 2.04
Tc: 0.0000 0.0000 0.5000  2 Li 2.04
Tc: 0.0000 0.5000 0.0000  2 Li 2.04
Tc: 0.5000 0.0000 0.0000  2 Li 2.04
Ir: 0.5000 0.5000 0.5000  12 Tc 2.89

=====

Entry 2:
An optimized crystal structure of MnCr2As, computed with PBE.

Summary:
Symmetry: Imm2, No. 44
VASP energy: -8.216 eV/atom
Energy relative to the elements: 50 meV/atom
Density: 7.934 g cm⁻³
Crystal system: orthorhombic

Unit cell a=4.6839 b=4.6839 c=4.6839 alpha=140.88 beta=130.05 gamma=65.21
With the nearest neighbours (Å) after each atom.
Sites, in units of the cell vectors:
Mn: 0.0000 0.0000 0.0000  2 As 2.50, 8 Cr 2.52-2.78
Cr: 0.5012 0.5012 0.0000  2 Cr 2.50, 4 Mn 2.52, 4 As 2.55-2.77
Cr: 0.7482 0.2482 0.5000  2 Cr 2.50, 4 As 2.52, 4 Mn 2.53-2.78
As: 0.2472 0.7472 0.5000  2 Mn 2.50, 8 Cr 2.52-2.77

=====

Entry 3:
An optimized crystal structure of LaPrNiPt, computed with PBE.

Summary:
Symmetry: F-43m, No. 216
VASP energy: -6.003 eV/atom
Relative energy among the computed polymorphs: 114 meV/atom
Energy relative to the elements: -620 meV/atom
Density: 9.447 g cm⁻³
Crystal system: cubic

Unit cell a=5.0999 b=5.0999 c=5.0999 alpha=60.00 beta=60.00 gamma=60.00
With the nearest neighbours (Å) after each atom.
Sites, in units of the cell vectors:
La: 0.0000 0.0000 0.0000  4 Pt 3.12, 4 Ni 3.12
Pr: 0.5000 0.5000 0.5000  4 Pt 3.12, 4 Ni 3.12
Ni: 0.2500 0.2500 0.2500  4 Pr 3.12, 4 La 3.12
Pt: 0.7500 0.7500 0.7500  4 Pr 3.12, 4 La 3.12

=====

Entry 4:
An optimized crystal structure of CuSiC3, computed with PBE.

Summary:
Symmetry: Cm, No. 8
VASP energy: -6.964 eV/atom
Formation energy from raw total energies: 0.475 eV/atom
Relative energy among the computed polymorphs: 0 meV/atom
Density: 3.461 g cm⁻³
Crystal system: monoclinic

Unit cell a=5.2653 b=5.2653 c=4.7893 alpha=93.21 beta=93.21 gamma=27.52
With the nearest neighbours (Å) after each atom.
Sites, in units of the cell vectors:
Cu: 0.0000 0.0000 0.0000  2 C 1.98
Si: 0.4344 0.4344 0.5930  2 C 1.88-1.89
C: 0.2576 0.2576 0.4586  2 C 1.43
C: 0.5534 0.5534 0.3061  1 C 1.48
C: 0.6924 0.6924 0.4076  3 C 1.43-1.48

=====

Entry 5:
An optimized crystal structure of CeHo2Ru4, computed with PBE.

Summary:
Symmetry: I4/mmm, No. 139
VASP energy: -7.278 eV/atom
Energy relative to the elements: 178 meV/atom
Density: 10.189 g cm⁻³
Crystal system: tetragonal

Unit cell a=5.6990 b=5.6990 c=5.6990 alpha=109.15 beta=109.15 gamma=110.12
With the nearest neighbours (Å) after each atom.
Sites, in units of the cell vectors:
Ce: 0.0000 0.0000 0.0000  8 Ru 2.85
Ho: 0.0000 0.5000 0.5000  8 Ru 2.85
Ho: 0.5000 0.0000 0.5000  8 Ru 2.85
Ru: 0.0000 0.0000 0.5000  4 Ho 2.85, 2 Ce 2.85
Ru: 0.0000 0.5000 0.0000  4 Ho 2.85, 2 Ce 2.85
Ru: 0.5000 0.0000 0.0000  4 Ho 2.85, 2 Ce 2.85
Ru: 0.5000 0.5000 0.5000  4 Ho 2.85, 2 Ce 2.85

=====

Entry 6:
An optimized crystal structure of La3Sm5S12, computed with PBE.

Summary:
Symmetry: Ia-3d, No. 230
VASP energy: -6.347 eV/atom
Formation energy from raw total energies: -1.952 eV/atom
Density: 4.521 g cm⁻³
Crystal system: cubic

Unit cell a=14.3656 b=14.3656 c=14.3656 alpha=109.47 beta=109.47 gamma=109.47
With the nearest neighbours (Å) after each atom.
Sites, in units of the cell vectors:
La: 0.1250 0.2500 0.3750  8 S 3.06-3.13
La: 0.1250 0.3750 0.7500  8 S 3.06-3.13
La: 0.2500 0.3750 0.1250  8 S 3.06-3.13
La: 0.2500 0.8750 0.6250  8 S 3.06-3.13
La: 0.3750 0.1250 0.2500  8 S 3.06-3.13
La: 0.3750 0.7500 0.1250  8 S 3.06-3.13
La: 0.6250 0.2500 0.8750  8 S 3.06-3.13
La: 0.6250 0.8750 0.7500  8 S 3.06-3.13
La: 0.7500 0.1250 0.3750  8 S 3.06-3.13
La: 0.7500 0.6250 0.8750  8 S 3.06-3.13
La: 0.8750 0.6250 0.2500  8 S 3.06-3.13
La: 0.8750 0.7500 0.6250  8 S 3.06-3.13
Sm: 0.0000 0.0000 0.0000  6 S 2.80
Sm: 0.0000 0.0000 0.5000  6 S 2.80
Sm: 0.0000 0.5000 0.0000  6 S 2.80
Sm: 0.0000 0.5000 0.5000  6 S 2.80
Sm: 0.1250 0.7500 0.8750  4 S 2.62
Sm: 0.1250 0.8750 0.2500  4 S 2.62
Sm: 0.2500 0.1250 0.8750  4 S 2.62
Sm: 0.2500 0.6250 0.3750  4 S 2.62
Sm: 0.3750 0.2500 0.6250  4 S 2.62
Sm: 0.3750 0.6250 0.7500  4 S 2.62
Sm: 0.5000 0.0000 0.0000  6 S 2.80
Sm: 0.5000 0.0000 0.5000  6 S 2.80
Sm: 0.5000 0.5000 0.0000  6 S 2.80
Sm: 0.5000 0.5000 0.5000  6 S 2.80
Sm: 0.6250 0.3750 0.2500  4 S 2.62
Sm: 0.6250 0.7500 0.3750  4 S 2.62
Sm: 0.7500 0.3750 0.6250  4 S 2.62
Sm: 0.7500 0.8750 0.1250  4 S 2.62
Sm: 0.8750 0.1250 0.7500  4 S 2.62
Sm: 0.8750 0.2500 0.1250  4 S 2.62
S: 0.0475 0.2214 0.1316  2 Sm 2.62-2.80
S: 0.0475 0.3261 0.9158  2 Sm 2.62-2.80
S: 0.0842 0.6316 0.4103  2 Sm 2.62-2.80
S: 0.0842 0.9525 0.6739  2 Sm 2.62-2.80
S: 0.0897 0.7214 0.6739  2 Sm 2.62-2.80
S: 0.0897 0.8684 0.4158  2 Sm 2.62-2.80
S: 0.1316 0.0475 0.2214  2 Sm 2.62-2.80
S: 0.1316 0.5842 0.9103  2 Sm 2.62-2.80
S: 0.1739 0.2214 0.5897  2 Sm 2.62-2.80
S: 0.1739 0.4525 0.5842  2 Sm 2.62-2.80
S: 0.2214 0.1316 0.0475  2 Sm 2.62-2.80
S: 0.2214 0.5897 0.1739  2 Sm 2.62-2.80
S: 0.2786 0.3261 0.9103  2 Sm 2.62-2.80
S: 0.2786 0.4525 0.3684  2 Sm 2.62-2.80
S: 0.3261 0.9103 0.2786  2 Sm 2.62-2.80
S: 0.3261 0.9158 0.0475  2 Sm 2.62-2.80
S: 0.3684 0.2786 0.4525  2 Sm 2.62-2.80
S: 0.3684 0.5897 0.9158  2 Sm 2.62-2.80
S: 0.4103 0.0842 0.6316  2 Sm 2.62-2.80
S: 0.4103 0.8261 0.7786  2 Sm 2.62-2.80
S: 0.4158 0.0897 0.8684  2 Sm 2.62-2.80
S: 0.4158 0.8261 0.5475  2 Sm 2.62-2.80
S: 0.4525 0.3684 0.2786  2 Sm 2.62-2.80
S: 0.4525 0.5842 0.1739  2 Sm 2.62-2.80
S: 0.5475 0.4158 0.8261  2 Sm 2.62-2.80
S: 0.5475 0.6316 0.7214  2 Sm 2.62-2.80
S: 0.5842 0.1739 0.4525  2 Sm 2.62-2.80
S: 0.5842 0.9103 0.1316  2 Sm 2.62-2.80
S: 0.5897 0.1739 0.2214  2 Sm 2.62-2.80
S: 0.5897 0.9158 0.3684  2 Sm 2.62-2.80
S: 0.6316 0.4103 0.0842  2 Sm 2.62-2.80
S: 0.6316 0.7214 0.5475  2 Sm 2.62-2.80
S: 0.6739 0.0842 0.9525  2 Sm 2.62-2.80
S: 0.6739 0.0897 0.7214  2 Sm 2.62-2.80
S: 0.7214 0.5475 0.6316  2 Sm 2.62-2.80
S: 0.7214 0.6739 0.0897  2 Sm 2.62-2.80
S: 0.7786 0.4103 0.8261  2 Sm 2.62-2.80
S: 0.7786 0.8684 0.9525  2 Sm 2.62-2.80
S: 0.8261 0.5475 0.4158  2 Sm 2.62-2.80
S: 0.8261 0.7786 0.4103  2 Sm 2.62-2.80
S: 0.8684 0.4158 0.0897  2 Sm 2.62-2.80
S: 0.8684 0.9525 0.7786  2 Sm 2.62-2.80
S: 0.9103 0.1316 0.5842  2 Sm 2.62-2.80
S: 0.9103 0.2786 0.3261  2 Sm 2.62-2.80
S: 0.9158 0.0475 0.3261  2 Sm 2.62-2.80
S: 0.9158 0.3684 0.5897  2 Sm 2.62-2.80
S: 0.9525 0.6739 0.0842  2 Sm 2.62-2.80
S: 0.9525 0.7786 0.8684  2 Sm 2.62-2.80

=====

Entry 7:
An optimized crystal structure of Sr2TlTePd, computed with PBE.

Summary:
Symmetry: P4/mmm, No. 123
VASP energy: -3.512 eV/atom
Formation energy from raw total energies: -0.699 eV/atom
Density: 5.772 g cm⁻³
Crystal system: tetragonal

Unit cell a=5.8388 b=5.8388 c=5.1785 alpha=90.00 beta=90.00 gamma=90.00
With the nearest neighbours (Å) after each atom.
Sites, in units of the cell vectors:
Sr: 0.0000 0.5000 0.0000  2 Pd 2.92
Sr: 0.5000 0.0000 0.0000  2 Pd 2.92
Tl: 0.0000 0.0000 0.5000  2 Pd 2.59
Te: 0.5000 0.5000 0.5000  8 Sr 3.90, 4 Tl 4.13
Pd: 0.0000 0.0000 0.0000  2 Tl 2.59

=====

Entry 8:
An optimized crystal structure of Sr2MgCr, computed with PBE.

Summary:
Symmetry: R-3m, No. 166
VASP energy: -3.060 eV/atom
Energy relative to the elements: 585 meV/atom
Density: 2.778 g cm⁻³
Crystal system: trigonal

Unit cell a=10.8477 b=10.8477 c=10.8477 alpha=21.51 beta=21.51 gamma=21.51
With the nearest neighbours (Å) after each atom.
Sites, in units of the cell vectors:
Sr: 0.2447 0.2447 0.2447  3 Cr 3.41, 3 Mg 3.66
Sr: 0.7553 0.7553 0.7553  3 Cr 3.41, 3 Mg 3.66
Mg: 0.0000 0.0000 0.0000  6 Sr 3.66, 6 Mg 4.05
Cr: 0.5000 0.5000 0.5000  6 Sr 3.41

=====

Entry 9:
An optimized crystal structure of Li2NbGeH, computed with PBE.

Summary:
Symmetry: P4/mmm, No. 123
VASP energy: -4.667 eV/atom
Relative energy among the computed polymorphs: 0 meV/atom
Density: 4.919 g cm⁻³
Crystal system: tetragonal

Unit cell a=3.8271 b=3.8271 c=4.1585 alpha=90.00 beta=90.00 gamma=90.00
With the nearest neighbours (Å) after each atom.
Sites, in units of the cell vectors:
Li: 0.0000 0.5000 0.0000  2 H 1.91
Li: 0.5000 0.0000 0.0000  2 H 1.91
Nb: 0.0000 0.0000 0.5000  2 H 2.08
Ge: 0.5000 0.5000 0.5000  4 Nb 2.71, 8 Li 2.83
H: 0.0000 0.0000 0.0000  4 Li 1.91, 2 Nb 2.08

=====

Entry 10:
An optimized crystal structure of CsCdPOs, computed with PBE.

Summary:
Symmetry: P4/nmm, No. 129
VASP energy: -4.851 eV/atom
Energy relative to the elements: -249 meV/atom
Density: 6.610 g cm⁻³
Crystal system: tetragonal

Unit cell a=4.0570 b=4.0570 c=14.2407 alpha=90.00 beta=90.00 gamma=90.00
With the nearest neighbours (Å) after each atom.
Sites, in units of the cell vectors:
Cs: 0.2500 0.2500 0.2360  4 P 3.58, 4 Os 3.93
Cs: 0.7500 0.7500 0.7640  4 P 3.58, 4 Os 3.93
Cd: 0.2500 0.7500 0.5000  4 Cd 2.87
Cd: 0.7500 0.2500 0.5000  4 Cd 2.87
P: 0.2500 0.2500 0.9146  4 Os 2.37
P: 0.7500 0.7500 0.0854  4 Os 2.37
Os: 0.2500 0.7500 0.0000  4 P 2.37
Os: 0.7500 0.2500 0.0000  4 P 2.37

=====

Entry 11:
An optimized crystal structure of HfCrC2, computed with PBE.

Summary:
Symmetry: R-3m, No. 166
VASP energy: -8.816 eV/atom
Energy relative to the elements: 690 meV/atom
Density: 7.165 g cm⁻³
Crystal system: trigonal

Unit cell a=6.1035 b=6.1035 c=6.1035 alpha=32.69 beta=32.69 gamma=32.69
With the nearest neighbours (Å) after each atom.
Sites, in units of the cell vectors:
Hf: 0.0000 0.0000 0.0000  6 C 2.25
Cr: 0.5000 0.5000 0.5000  2 C 1.82
C: 0.3950 0.3950 0.3950  1 Cr 1.82
C: 0.6050 0.6050 0.6050  1 Cr 1.82

=====

Entry 12:
An optimized crystal structure of HfTlSe2N, computed with PBE.

Summary:
Symmetry: P4/mmm, No. 123
VASP energy: -5.872 eV/atom
Formation energy from raw total energies: -0.349 eV/atom
Relative energy among the computed polymorphs: 0 meV/atom
Density: 7.663 g cm⁻³
Crystal system: tetragonal

Unit cell a=5.3604 b=5.3604 c=4.1841 alpha=90.00 beta=90.00 gamma=90.00
With the nearest neighbours (Å) after each atom.
Sites, in units of the cell vectors:
Hf: 0.0000 0.0000 0.0000  2 N 2.09
Tl: 0.5000 0.5000 0.5000  8 Se 3.40, 4 N 3.79
Se: 0.0000 0.5000 0.0000  2 Hf 2.68
Se: 0.5000 0.0000 0.0000  2 Hf 2.68
N: 0.0000 0.0000 0.5000  2 Hf 2.09